# ScAlV3

ScAlV3 after structural relaxation (PBE, the Alexandria database).

Values from the calculation:
Space group ... Pm-3m, No. 221
E above lowest polymorph ... 0 meV/atom
E_form ... 1007 meV per atom
N(E_F) ... 1.804 states/eV per atom

The structure in POSCAR format:
```
ScAlV3
1.0
4.550 0.000 0.000
0.000 4.550 0.000
0.000 0.000 4.550
Sc Al V
1 1 3
Direct
0.000 0.000 0.000 Sc
0.500 0.500 0.500 Al
0.000 0.500 0.500 V
0.500 0.000 0.500 V
0.500 0.500 0.000 V
```